# 1
YHoScAl | PBE-GGA | optimized geometry

The structure belongs to space group F-43m (No. 216); the cell edges are 7.3989, 7.3989 and 7.3989 Å and the angles 90.00°, 90.00° and 90.00°. The distinct sites, in fractional coordinates, are Y at (0.0000, 0.0000, 0.0000), Ho at (0.0000, 0.0000, 0.5000), Sc at (0.2500, 0.2500, 0.2500) and Al at (0.2500, 0.2500, 0.7500).

For the energy relative to the elements, the calculation gives -2.59 kcal/mol of atoms. The crystal system is cubic. The volume is 25.32 Å³ per atom.

# 2
Tb3Ho3Cu4 | PBE-GGA | optimized geometry

The structure belongs to space group Amm2 (No. 38); the cell edges are 3.7106, 11.2350 and 11.1542 Å and the angles 90.00°, 90.00° and 90.00°. The distinct sites, in fractional coordinates, are Tb at (0.0000, 0.0000, 0.0000), Tb at (0.0000, 0.1650, 0.3403), Ho at (0.0000, 0.0000, 0.6700), Ho at (0.5000, 0.2483, 0.0898), Cu at (0.5000, 0.0000, 0.2161), Cu at (0.5000, 0.0000, 0.4612) and Cu at (0.5000, 0.1215, 0.8348).

For the energy relative to the elements, the calculation gives -3.69 kcal/mol of atoms. The crystal system is orthorhombic. The volume is 23.25 Å³ per atom.

# 3
Pm8PrTm4 | PBE-GGA | optimized geometry

The structure belongs to space group R-3m (No. 166, hexagonal axes); the cell edges are 7.3312, 7.3312 and 28.1104 Å and the angles 90.00°, 90.00° and 120.00°. The distinct sites, in fractional coordinates, are Pm at (0.0000, 0.0000, 0.2166), Pm at (0.0329, 0.5165, 0.7651), Pr at (0.0000, 0.0000, 0.5000), Tm at (0.0000, 0.0000, 0.0000) and Tm at (0.0000, 0.5000, 0.0000).

For the energy relative to the elements, the calculation gives 4.22 kcal/mol of atoms. The crystal system is trigonal. The volume is 33.55 Å³ per atom.